# 1
# DySc3Cd4 GGA-PBE optimized geometry
# Symmetry: P4/mmm
# Formation enthalpy at 0 K (eV/atom): -0.29
data_DySc3Cd4
_chemical_formula_sum 'Dy2 Sc6 Cd8'
_space_group_name_H-M_alt 'P 1'
_space_group_IT_number 1
_space_group_name_Hall 'P 1'
_cell_length_a 5.044
_cell_length_b 7.279
_cell_length_c 10.090
_cell_angle_alpha 90.00
_cell_angle_beta 90.00
_cell_angle_gamma 90.00
loop_
_atom_site_label
_atom_site_type_symbol
_atom_site_fract_x
_atom_site_fract_y
_atom_site_fract_z
_atom_site_occupancy
Sc1 Sc 0.000 0.000 0.500 1
Sc2 Sc 0.500 0.500 0.750 1
Sc3 Sc 0.500 0.000 0.750 1
Sc4 Sc 0.500 0.000 0.250 1
Sc5 Sc 0.500 0.500 0.250 1
Sc6 Sc 0.000 0.000 0.000 1
Cd1 Cd 0.000 0.238 0.750 1
Cd2 Cd 0.500 0.762 0.500 1
Cd3 Cd 0.000 0.762 0.250 1
Cd4 Cd 0.000 0.238 0.250 1
Cd5 Cd 0.500 0.238 0.500 1
Cd6 Cd 0.500 0.762 0.000 1
Cd7 Cd 0.000 0.762 0.750 1
Cd8 Cd 0.500 0.238 0.000 1
Dy1 Dy 0.000 0.500 0.500 1
Dy2 Dy 0.000 0.500 0.000 1

***

# 2
# BeTcO2 GGA-PBE optimized geometry
# Raw formation energy (meV/atom): -1409
# Symmetry: R-3m
# Excess energy over the best structure of this formula in the dataset (eV/atom): 0.000
data_BeTcO2
_chemical_formula_sum 'Be1 Tc1 O2'
_space_group_name_H-M_alt 'P 1'
_space_group_IT_number 1
_space_group_name_Hall 'P 1'
_cell_length_a 5.993
_cell_length_b 5.993
_cell_length_c 5.993
_cell_angle_alpha 25.72
_cell_angle_beta 25.72
_cell_angle_gamma 25.72
loop_
_atom_site_label
_atom_site_type_symbol
_atom_site_fract_x
_atom_site_fract_y
_atom_site_fract_z
_atom_site_occupancy
Tc1 Tc 0.000 0.000 0.000 1
O1 O 0.890 0.890 0.890 1
O2 O 0.110 0.110 0.110 1
Be1 Be 0.500 0.500 0.500 1

***

# 3
# LaHRhAuS GGA-PBE optimized geometry
# Symmetry: P1
# Excess energy over the best structure of this formula in the dataset (eV/atom): 0.159
data_LaHRhAuS
_chemical_formula_sum 'La1 H1 Rh1 Au1 S1'
_space_group_name_H-M_alt 'P 1'
_space_group_IT_number 1
_space_group_name_Hall 'P 1'
_cell_length_a 4.006
_cell_length_b 5.113
_cell_length_c 5.131
_cell_angle_alpha 102.87
_cell_angle_beta 91.11
_cell_angle_gamma 112.26
loop_
_atom_site_label
_atom_site_type_symbol
_atom_site_fract_x
_atom_site_fract_y
_atom_site_fract_z
_atom_site_occupancy
Au1 Au 0.737 0.946 0.927 1
H1 H 0.253 0.986 0.896 1
Rh1 Rh 0.438 0.363 0.983 1
La1 La 0.963 0.412 0.565 1
S1 S 0.622 0.755 0.362 1

***

# 4
# Pr7SmHo3 GGA-PBE optimized geometry
# Symmetry: P3m1
# Formation enthalpy at 0 K (eV/atom): 0.18
data_Pr7SmHo3
_chemical_formula_sum 'Pr7 Sm1 Ho3'
_space_group_name_H-M_alt 'P 1'
_space_group_IT_number 1
_space_group_name_Hall 'P 1'
_cell_length_a 8.723
_cell_length_b 7.268
_cell_length_c 7.268
_cell_angle_alpha 120.00
_cell_angle_beta 90.00
_cell_angle_gamma 90.00
loop_
_atom_site_label
_atom_site_type_symbol
_atom_site_fract_x
_atom_site_fract_y
_atom_site_fract_z
_atom_site_occupancy
Pr1 Pr 0.106 0.167 0.833 1
Pr2 Pr 0.106 0.666 0.833 1
Pr3 Pr 0.126 0.667 0.333 1
Pr4 Pr 0.461 0.333 0.166 1
Pr5 Pr 0.461 0.834 0.667 1
Pr6 Pr 0.461 0.834 0.166 1
Pr7 Pr 0.106 0.167 0.334 1
Ho1 Ho 0.782 0.001 0.500 1
Ho2 Ho 0.782 0.500 0.999 1
Ho3 Ho 0.782 0.500 0.500 1
Sm1 Sm 0.442 0.333 0.667 1

***

# 5
# Th2SiSnRh6 GGA-PBE optimized geometry
# Raw formation energy (meV/atom): -648
# Symmetry: R-3m
data_Th2SiSnRh6
_chemical_formula_sum 'Th2 Si1 Sn1 Rh6'
_space_group_name_H-M_alt 'P 1'
_space_group_IT_number 1
_space_group_name_Hall 'P 1'
_cell_length_a 5.843
_cell_length_b 7.944
_cell_length_c 7.945
_cell_angle_alpha 43.15
_cell_angle_beta 68.42
_cell_angle_gamma 89.99
loop_
_atom_site_label
_atom_site_type_symbol
_atom_site_fract_x
_atom_site_fract_y
_atom_site_fract_z
_atom_site_occupancy
Rh1 Rh 0.718 0.757 0.039 1
Rh2 Rh 0.243 0.282 0.515 1
Rh3 Rh 0.757 0.718 0.485 1
Rh4 Rh 0.243 0.757 0.039 1
Rh5 Rh 0.282 0.243 0.961 1
Rh6 Rh 0.757 0.243 0.961 1
Sn1 Sn 0.500 0.500 0.000 1
Th1 Th 0.724 0.276 0.553 1
Th2 Th 0.276 0.724 0.447 1
Si1 Si 0.000 0.000 0.000 1

***

# 6
# Ta4Zn GGA-PBE optimized geometry
# Symmetry: Pm-3m
# Excess energy over the best structure of this formula in the dataset (eV/atom): 1.229
# Formation enthalpy at 0 K (eV/atom): 1.31
data_Ta4Zn
_chemical_formula_sum 'Ta4 Zn1'
_space_group_name_H-M_alt 'P 1'
_space_group_IT_number 1
_space_group_name_Hall 'P 1'
_cell_length_a 4.665
_cell_length_b 4.665
_cell_length_c 4.665
_cell_angle_alpha 90.00
_cell_angle_beta 90.00
_cell_angle_gamma 90.00
loop_
_atom_site_label
_atom_site_type_symbol
_atom_site_fract_x
_atom_site_fract_y
_atom_site_fract_z
_atom_site_occupancy
Ta1 Ta 0.000 0.500 0.500 1
Ta2 Ta 0.500 0.500 0.000 1
Ta3 Ta 0.000 0.000 0.000 1
Ta4 Ta 0.500 0.000 0.500 1
Zn1 Zn 0.500 0.500 0.500 1

***

# 7
# AlCrCo2 GGA-PBE optimized geometry
# Symmetry: Cm
# Formation enthalpy at 0 K (eV/atom): -0.12
data_AlCrCo2
_chemical_formula_sum 'Al1 Cr1 Co2'
_space_group_name_H-M_alt 'P 1'
_space_group_IT_number 1
_space_group_name_Hall 'P 1'
_cell_length_a 4.432
_cell_length_b 4.432
_cell_length_c 4.254
_cell_angle_alpha 78.62
_cell_angle_beta 78.62
_cell_angle_gamma 34.12
loop_
_atom_site_label
_atom_site_type_symbol
_atom_site_fract_x
_atom_site_fract_y
_atom_site_fract_z
_atom_site_occupancy
Cr1 Cr 0.507 0.507 0.457 1
Co1 Co 0.251 0.251 0.286 1
Co2 Co 0.997 0.997 0.968 1
Al1 Al 0.744 0.744 0.789 1

***

# 8
# DyZr2ReC4 GGA-PBE optimized geometry
# Symmetry: Cmcm
# Formation enthalpy at 0 K (eV/atom): -0.32
data_DyZr2ReC4
_chemical_formula_sum 'Dy2 Zr4 Re2 C8'
_space_group_name_H-M_alt 'P 1'
_space_group_IT_number 1
_space_group_name_Hall 'P 1'
_cell_length_a 3.330
_cell_length_b 6.069
_cell_length_c 11.668
_cell_angle_alpha 90.00
_cell_angle_beta 90.00
_cell_angle_gamma 105.92
loop_
_atom_site_label
_atom_site_type_symbol
_atom_site_fract_x
_atom_site_fract_y
_atom_site_fract_z
_atom_site_occupancy
Re1 Re 0.841 0.682 0.750 1
Re2 Re 0.159 0.318 0.250 1
C1 C 0.262 0.525 0.379 1
C2 C 0.738 0.475 0.879 1
C3 C 0.560 0.119 0.250 1
C4 C 0.440 0.881 0.750 1
C5 C 0.262 0.525 0.121 1
C6 C 0.738 0.475 0.621 1
C7 C 0.000 0.000 0.500 1
C8 C 0.000 0.000 0.000 1
Zr1 Zr 0.369 0.739 0.537 1
Zr2 Zr 0.369 0.739 0.963 1
Zr3 Zr 0.631 0.261 0.037 1
Zr4 Zr 0.631 0.261 0.463 1
Dy1 Dy 0.104 0.207 0.750 1
Dy2 Dy 0.896 0.793 0.250 1

***

# 9
# BaY2Os GGA-PBE optimized geometry
# Symmetry: Amm2
# Excess energy over the best structure of this formula in the dataset (eV/atom): 0.187
# Formation enthalpy at 0 K (eV/atom): 0.15
data_BaY2Os
_chemical_formula_sum 'Ba1 Y2 Os1'
_space_group_name_H-M_alt 'P 1'
_space_group_IT_number 1
_space_group_name_Hall 'P 1'
_cell_length_a 3.714
_cell_length_b 4.365
_cell_length_c 8.752
_cell_angle_alpha 75.51
_cell_angle_beta 90.00
_cell_angle_gamma 90.00
loop_
_atom_site_label
_atom_site_type_symbol
_atom_site_fract_x
_atom_site_fract_y
_atom_site_fract_z
_atom_site_occupancy
Y1 Y 0.000 0.980 0.914 1
Y2 Y 0.500 0.349 0.175 1
Ba1 Ba 0.000 0.667 0.542 1
Os1 Os 0.500 0.504 0.868 1

***

# 10
# LiNpPt3 GGA-PBE optimized geometry
# Symmetry: R3c
# Excess energy over the best structure of this formula in the dataset (eV/atom): 0.160
# Formation enthalpy at 0 K (eV/atom): -0.28
data_LiNpPt3
_chemical_formula_sum 'Li2 Np2 Pt6'
_space_group_name_H-M_alt 'P 1'
_space_group_IT_number 1
_space_group_name_Hall 'P 1'
_cell_length_a 5.896
_cell_length_b 5.896
_cell_length_c 5.896
_cell_angle_alpha 68.82
_cell_angle_beta 68.82
_cell_angle_gamma 68.82
loop_
_atom_site_label
_atom_site_type_symbol
_atom_site_fract_x
_atom_site_fract_y
_atom_site_fract_z
_atom_site_occupancy
Pt1 Pt 0.293 0.727 0.730 1
Pt2 Pt 0.793 0.230 0.227 1
Pt3 Pt 0.727 0.730 0.293 1
Pt4 Pt 0.227 0.793 0.230 1
Pt5 Pt 0.730 0.293 0.727 1
Pt6 Pt 0.230 0.227 0.793 1
Li1 Li 0.962 0.962 0.962 1
Li2 Li 0.462 0.462 0.462 1
Np1 Np 0.259 0.259 0.259 1
Np2 Np 0.759 0.759 0.759 1

***

# 11
# Tb3Pr7Y2 GGA-PBE optimized geometry
# Symmetry: P2/m
# Excess energy over the best structure of this formula in the dataset (eV/atom): 0.023
# Formation enthalpy at 0 K (eV/atom): 0.09
data_Tb3Pr7Y2
_chemical_formula_sum 'Tb3 Pr7 Y2'
_space_group_name_H-M_alt 'P 1'
_space_group_IT_number 1
_space_group_name_Hall 'P 1'
_cell_length_a 3.645
_cell_length_b 5.960
_cell_length_c 19.289
_cell_angle_alpha 93.77
_cell_angle_beta 90.00
_cell_angle_gamma 90.00
loop_
_atom_site_label
_atom_site_type_symbol
_atom_site_fract_x
_atom_site_fract_y
_atom_site_fract_z
_atom_site_occupancy
Tb1 Tb 0.000 0.780 0.632 1
Tb2 Tb 0.500 0.500 0.000 1
Tb3 Tb 0.000 0.220 0.368 1
Y1 Y 0.500 0.291 0.702 1
Y2 Y 0.500 0.709 0.298 1
Pr1 Pr 0.500 0.819 0.815 1
Pr2 Pr 0.500 0.743 0.466 1
Pr3 Pr 0.500 0.257 0.534 1
Pr4 Pr 0.000 0.000 0.000 1
Pr5 Pr 0.000 0.678 0.145 1
Pr6 Pr 0.500 0.181 0.185 1
Pr7 Pr 0.000 0.322 0.855 1

***

# 12
# SnBiSeBr2 GGA-PBE optimized geometry
# Raw formation energy (meV/atom): -9
# Symmetry: P4/mmm
# Excess energy over the best structure of this formula in the dataset (eV/atom): 0.000
data_SnBiSeBr2
_chemical_formula_sum 'Sn1 Bi1 Se1 Br2'
_space_group_name_H-M_alt 'P 1'
_space_group_IT_number 1
_space_group_name_Hall 'P 1'
_cell_length_a 5.679
_cell_length_b 5.679
_cell_length_c 5.675
_cell_angle_alpha 90.00
_cell_angle_beta 90.00
_cell_angle_gamma 90.00
loop_
_atom_site_label
_atom_site_type_symbol
_atom_site_fract_x
_atom_site_fract_y
_atom_site_fract_z
_atom_site_occupancy
Sn1 Sn 0.500 0.500 0.500 1
Se1 Se 0.000 0.000 0.500 1
Bi1 Bi 0.000 0.000 0.000 1
Br1 Br 0.000 0.500 0.000 1
Br2 Br 0.500 0.000 0.000 1

***

Calculated values (Å³ per cell) of volume for the records, taken in order: 371 36 94 399 213 101 46 227 137 172 418 183.